Tb2MoO5: optimized geometry, GGA+U.

a b c (Å): 9.683 6.605 5.932
angles (deg): 90.00 90.00 90.00
Fractional coordinates of all 32 atoms:
1 Tb 0.174 0.001 0.028
2 Tb 0.174 0.499 0.028
3 Tb 0.326 0.501 0.528
4 Tb 0.326 0.999 0.528
5 Tb 0.674 0.001 0.472
6 Tb 0.674 0.499 0.472
7 Tb 0.826 0.501 0.972
8 Tb 0.826 0.999 0.972
9 Mo 0.000 0.250 0.554
10 Mo 0.000 0.750 0.446
11 Mo 0.500 0.250 0.946
12 Mo 0.500 0.750 0.054
13 O 0.004 0.250 0.933
14 O 0.091 0.530 0.657
15 O 0.091 0.970 0.657
16 O 0.184 0.250 0.339
17 O 0.208 0.750 0.318
18 O 0.292 0.250 0.818
19 O 0.316 0.750 0.839
20 O 0.409 0.030 0.157
21 O 0.409 0.470 0.157
22 O 0.496 0.750 0.433
23 O 0.504 0.250 0.567
24 O 0.591 0.530 0.843
25 O 0.591 0.970 0.843
26 O 0.684 0.250 0.161
27 O 0.708 0.750 0.182
28 O 0.792 0.250 0.682
29 O 0.816 0.750 0.661
30 O 0.909 0.030 0.343
31 O 0.909 0.470 0.343
32 O 0.996 0.750 0.067

Calculated values
- Mass density: 8.6 g/cm³
- Spin magnetization: 8.0 Bohr magnetons per cell
- DFT total energy: -256.3 eV/cell
- N(E_F): 0.000 states/eV/f.u.